DFT (PBEsol) results for a geometry-optimized LiNiPO2 structure.

crystal system = tetragonal
space-group type = P4/mmm, No. 123
raw formation energy = -0.121 eV/atom

a b c (Å): 3.618 3.618 4.669
angles (deg): 90.00 90.00 90.00
Positions (direct):
1 Li 0.000 0.000 0.000
2 Ni 0.500 0.500 0.500
3 P 0.500 0.500 0.000
4 O 0.000 0.500 0.500
5 O 0.500 0.000 0.500

=====

DFT (PBEsol) results for a geometry-optimized SrGaW2I structure.

crystal system = tetragonal
space-group type = P4/mmm, No. 123
raw formation energy = 1.468 eV/atom

a b c (Å): 4.700 4.700 5.707
angles (deg): 90.00 90.00 90.00
Positions (direct):
1 Sr 0.000 0.000 0.000
2 Ga 0.000 0.000 0.500
3 W 0.000 0.500 0.500
4 W 0.500 0.000 0.500
5 I 0.500 0.500 0.000

=====

DFT (PBEsol) results for a geometry-optimized GeAu3F structure.

crystal system = cubic
space-group type = Pm-3m, No. 221
raw formation energy = 0.505 eV/atom

a b c (Å): 4.514 4.514 4.514
angles (deg): 90.00 90.00 90.00
Positions (direct):
1 Ge 0.000 0.000 0.000
2 Au 0.000 0.500 0.500
3 Au 0.500 0.000 0.500
4 Au 0.500 0.500 0.000
5 F 0.500 0.500 0.500

=====

DFT (PBEsol) results for a geometry-optimized Li3CdPd structure.

crystal system = cubic
space-group type = Pm-3m, No. 221
energy relative to the elements = 41 meV per atom

a b c (Å): 4.661 4.661 4.661
angles (deg): 90.00 90.00 90.00
Positions (direct):
1 Li 0.000 0.000 0.500
2 Li 0.000 0.500 0.000
3 Li 0.500 0.000 0.000
4 Cd 0.500 0.500 0.500
5 Pd 0.000 0.000 0.000

=====

DFT (PBEsol) results for a geometry-optimized GeRhS2Cl structure.

crystal system = tetragonal
space-group type = P4/mmm, No. 123
raw formation energy = 0.734 eV/atom

a b c (Å): 4.615 4.615 4.651
angles (deg): 90.00 90.00 90.00
Positions (direct):
1 Ge 0.000 0.000 0.000
2 Rh 0.500 0.500 0.500
3 S 0.000 0.500 0.000
4 S 0.500 0.000 0.000
5 Cl 0.000 0.000 0.500

=====

DFT (PBEsol) results for a geometry-optimized SrMgRe2 structure.

crystal system = orthorhombic
space-group type = Cmmm, No. 65
energy relative to the elements = 995 meV per atom

a b c (Å): 5.670 5.670 2.672
angles (deg): 90.00 90.00 121.12
Positions (direct):
1 Sr 0.000 0.000 0.000
2 Mg 0.500 0.500 0.000
3 Re 0.000 0.500 0.500
4 Re 0.500 0.000 0.500

=====

DFT (PBEsol) results for a geometry-optimized KAlP4H4O14 structure.

crystal system = triclinic
space-group type = P-1, No. 2

a b c (Å): 4.924 7.506 7.748
angles (deg): 81.18 83.18 73.48
Positions (direct):
1 K 0.000 0.000 0.000
2 Al 0.000 0.500 0.000
3 P 0.317 0.233 0.318
4 P 0.413 0.604 0.227
5 P 0.587 0.396 0.773
6 P 0.683 0.767 0.682
7 H 0.107 0.782 0.417
8 H 0.309 0.009 0.613
9 H 0.691 0.991 0.387
10 H 0.893 0.218 0.583
11 O 0.159 0.278 0.154
12 O 0.167 0.160 0.484
13 O 0.236 0.628 0.073
14 O 0.277 0.411 0.821
15 O 0.295 0.770 0.336
16 O 0.375 0.423 0.357
17 O 0.388 0.907 0.718
18 O 0.612 0.093 0.282
19 O 0.625 0.577 0.643
20 O 0.705 0.230 0.664
21 O 0.723 0.589 0.179
22 O 0.764 0.372 0.927
23 O 0.833 0.840 0.516
24 O 0.841 0.722 0.846

=====

DFT (PBEsol) results for a geometry-optimized Y3Mg2CrS8 structure.

crystal system = trigonal
space-group type = R-3m, No. 166
raw formation energy = -1.606 eV/atom

a b c (Å): 7.597 7.597 7.597
angles (deg): 60.80 60.80 60.80
Positions (direct):
1 Y 0.000 0.500 0.500
2 Y 0.500 0.000 0.500
3 Y 0.500 0.500 0.000
4 Mg 0.125 0.125 0.125
5 Mg 0.875 0.875 0.875
6 Cr 0.500 0.500 0.500
7 S 0.255 0.255 0.255
8 S 0.272 0.272 0.728
9 S 0.272 0.728 0.272
10 S 0.272 0.728 0.728
11 S 0.728 0.272 0.272
12 S 0.728 0.272 0.728
13 S 0.728 0.728 0.272
14 S 0.745 0.745 0.745

=====

DFT (PBEsol) results for a geometry-optimized Al2CoCu structure.

crystal system = orthorhombic
space-group type = Pmm2, No. 25
energy relative to the elements = -228 meV per atom

a b c (Å): 2.816 3.465 5.113
angles (deg): 90.00 90.00 90.00
Positions (direct):
1 Al 0.000 0.000 0.000
2 Al 0.500 0.500 0.313
3 Co 0.000 0.000 0.504
4 Cu 0.500 0.500 0.785

=====

DFT (PBEsol) results for a geometry-optimized ZrTlHg2 structure.

crystal system = tetragonal
space-group type = P4/mmm, No. 123
energy relative to the elements = -176 meV per atom

a b c (Å): 4.363 4.363 4.474
angles (deg): 90.00 90.00 90.00
Positions (direct):
1 Zr 0.000 0.000 0.000
2 Tl 0.500 0.500 0.000
3 Hg 0.000 0.500 0.500
4 Hg 0.500 0.000 0.500

=====

DFT (PBEsol) results for a geometry-optimized La2AuO2 structure.

crystal system = tetragonal
space-group type = I4/mmm, No. 139
raw formation energy = -2.547 eV/atom

a b c (Å): 6.921 6.921 6.921
angles (deg): 146.18 146.18 48.58
Positions (direct):
1 La 0.154 0.154 0.000
2 La 0.846 0.846 0.000
3 Au 0.500 0.500 0.000
4 O 0.250 0.750 0.500
5 O 0.750 0.250 0.500

=====

DFT (PBEsol) results for a geometry-optimized Zn3SiI structure.

crystal system = cubic
space-group type = Pm-3m, No. 221
raw formation energy = 1.292 eV/atom

a b c (Å): 5.204 5.204 5.204
angles (deg): 90.00 90.00 90.00
Positions (direct):
1 Zn 0.000 0.000 0.500
2 Zn 0.000 0.500 0.000
3 Zn 0.500 0.000 0.000
4 Si 0.500 0.500 0.500
5 I 0.000 0.000 0.000

=====

| no. | E_tot (eV/atom) | magnetization (μB per cell) |
| --- | --- | --- |
| 1 | -5.00 | 1.8 |
| 2 | -5.44 | 0.0 |
| 3 | -3.22 | 0.0 |
| 4 | -2.57 | 0.0 |
| 5 | -4.04 | 2.4 |
| 6 | -6.56 | 0.0 |
| 7 | -6.87 | 0.0 |
| 8 | -6.55 | 3.0 |
| 9 | -5.29 | 0.0 |
| 10 | -3.39 | 0.0 |
| 11 | -7.57 | 0.0 |
| 12 | -1.16 | 0.0 |